RbMoHRh2: optimized geometry, PBE-GGA.

E_tot: -25.1 eV/cell
Crystal system: tetragonal
Size of the total moment: 0.00 μB/f.u.
Density of states at the Fermi level: 0.81 states/eV/atom

abc: 4.8457 4.1213 4.8457
angles: 90.00 90.00 90.00
Sites, in units of the cell vectors:
H1 0.0000 0.5000 0.0000
Mo1 0.0000 0.0000 0.0000
Rh1 0.0000 0.0000 0.5000
Rh2 0.5000 0.0000 0.0000
Rb1 0.5000 0.5000 0.5000